# KEuMn4O12, relaxed, DFT GGA+U
data_KEuMn4O12
_chemical_formula_sum 'K2 Eu2 Mn8 O24'
_symmetry_space_group_name_H-M 'A m m 2'
_symmetry_Int_Tables_number 38
_cell_length_a 7.615
_cell_length_b 7.584
_cell_length_c 7.700
_cell_angle_alpha 90.00
_cell_angle_beta 90.00
_cell_angle_gamma 90.00
loop_
_symmetry_equiv_pos_as_xyz
'x,y,z'
'-x,-y,z'
'-x,y,z'
'x,-y,z'
'x,y+1/2,z+1/2'
'-x,-y+1/2,z+1/2'
'-x,y+1/2,z+1/2'
'x,-y+1/2,z+1/2'
loop_
_atom_site_label
_atom_site_fract_x
_atom_site_fract_y
_atom_site_fract_z
_atom_site_occupancy
K1 0.000 0.000 0.000 1
Eu1 0.500 0.000 0.514 1
Mn1 0.243 0.248 0.261 1
O1 0.000 0.214 0.266 1
O2 0.237 0.000 0.725 1
O3 0.277 0.249 0.505 1
O4 0.297 0.000 0.267 1
O5 0.500 0.217 0.749 1
# VASP energy   -0.4932 Ry per atom
# Size of the total moment   28.00 Bohr magnetons per cell